1.
DFT (PBE) results for a relaxed LiZn5Ni2 crystal.

**DOS at the Fermi energy**: 6.7 states/eV/cell
**Electronic total energy**: -2.61 eV/atom
**Symmetry**: Cmcm
**Energy of formation**: -127 meV/atom

Cell lengths 4.7059, 4.7059, 12.7187 Å; angles 90.00, 90.00, 127.38 degrees
With the nearest neighbours (Å) after each atom.
Fractional positions:
Li  0.4047  0.5953  0.7500  3 Zn 2.41-2.55, 2 Ni 2.61
Li  0.5953  0.4047  0.2500  3 Zn 2.41-2.55, 2 Ni 2.61
Zn  0.0915  0.9083  0.4031  3 Ni 2.50-2.53, 4 Zn 2.58-2.69
Zn  0.8808  0.1192  0.2500  1 Li 2.41, 2 Ni 2.50, 2 Zn 2.64
Zn  0.5891  0.4108  0.9092  3 Ni 2.49, 1 Li 2.55, 4 Zn 2.58-2.76
Zn  0.9085  0.0917  0.5969  3 Ni 2.50-2.53, 4 Zn 2.58-2.69
Zn  0.4108  0.5891  0.4092  3 Ni 2.49, 1 Li 2.55, 4 Zn 2.58-2.76
Zn  0.4109  0.5892  0.0908  3 Ni 2.49, 1 Li 2.55, 4 Zn 2.58-2.76
Zn  0.0917  0.9085  0.0969  3 Ni 2.50-2.53, 4 Zn 2.58-2.69
Zn  0.9083  0.0915  0.9031  3 Ni 2.50-2.53, 4 Zn 2.58-2.69
Zn  0.1192  0.8808  0.7500  1 Li 2.41, 2 Ni 2.50, 2 Zn 2.64
Zn  0.5892  0.4109  0.5908  3 Ni 2.49, 1 Li 2.55, 4 Zn 2.58-2.76
Ni  0.2481  0.7517  0.9272  7 Zn 2.49-2.53, 1 Li 2.61
Ni  0.7519  0.2483  0.0728  7 Zn 2.49-2.53, 1 Li 2.61
Ni  0.7517  0.2481  0.4272  7 Zn 2.49-2.53, 1 Li 2.61
Ni  0.2483  0.7519  0.5728  7 Zn 2.49-2.53, 1 Li 2.61

2.
DFT (PBE) results for a relaxed LiZn5Ni6 crystal.

**DOS at the Fermi energy**: 4.4 states/eV/cell
**Electronic total energy**: -3.79 eV/atom
**Symmetry**: Cmmm
**Energy of formation**: -211 meV/atom

Cell lengths 3.8959, 6.2921, 6.1610 Å; angles 90.00, 71.57, 90.00 degrees
With the nearest neighbours (Å) after each atom.
Fractional positions:
Ni  0.8329  0.7511  0.3342  7 Zn 2.50-2.52, 1 Li 2.50, 4 Ni 2.75-2.76
Ni  0.1671  0.2489  0.6658  7 Zn 2.50-2.52, 1 Li 2.50, 4 Ni 2.75-2.76
Ni  0.5000  0.7490  0.0000  6 Zn 2.48-2.50, 2 Li 2.51, 4 Ni 2.76
Ni  0.5000  0.2510  0.0000  6 Zn 2.48-2.50, 2 Li 2.51, 4 Ni 2.76
Ni  0.1671  0.7511  0.6658  7 Zn 2.50-2.52, 1 Li 2.50, 4 Ni 2.75-2.76
Ni  0.8329  0.2489  0.3342  7 Zn 2.50-2.52, 1 Li 2.50, 4 Ni 2.75-2.76
Zn  0.0000  0.5000  0.0000  8 Ni 2.50-2.51, 4 Zn 2.75
Zn  0.3337  0.5000  0.3327  8 Ni 2.50-2.51, 4 Zn 2.75-2.76
Zn  0.3365  0.0000  0.3270  8 Ni 2.48-2.52, 2 Li 2.73
Zn  0.6635  0.0000  0.6730  8 Ni 2.48-2.52, 2 Li 2.73
Zn  0.6663  0.5000  0.6673  8 Ni 2.50-2.51, 4 Zn 2.75-2.76
Li  0.0000  0.0000  0.0000  8 Ni 2.50-2.51, 4 Zn 2.73